Density functional theory data (GGA-PBE) for a geometry-optimized SbBr2 structure.

```
6
Lattice="2.007 7.798 -0.010 -2.007 7.798 -0.010 0.000 2.616 7.971" Properties=species:S:1:pos:R:3 pbc="T T T"
Br 0.000 6.508 4.636
Br 0.000 2.505 5.566
Br 0.000 9.844 1.314
Br 0.000 5.477 0.768
Sb 0.000 12.330 5.060
Sb 0.000 3.670 2.540
```

Values from the calculation:
Electronic total energy (eV/atom): -2.879
Energy above the most stable polymorph in this dataset (eV/atom): 0.0674
Space-group type: Cm, No. 8

Density functional theory data (GGA-PBE) for a geometry-optimized Sb3Br structure.

```
4
Lattice="-2.975 -1.686 -0.243 1.520 0.491 -3.034 4.867 -8.737 1.024" Properties=species:S:1:pos:R:3 pbc="T T T"
Sb 0.483 -2.770 -1.384
Sb 2.929 -7.162 -0.869
Sb 2.434 -4.369 0.512
Br 0.000 0.000 0.000
```

Values from the calculation:
Electronic total energy (eV/atom): -3.370
Energy above the most stable polymorph in this dataset (eV/atom): 0.1277
Space-group type: Cmmm, No. 65

Density functional theory data (GGA-PBE) for a geometry-optimized SbBr2 structure.

```
6
Lattice="2.504 -4.337 0.000 2.504 4.337 0.000 0.000 0.000 7.972" Properties=species:S:1:pos:R:3 pbc="T T T"
Br 0.000 0.000 3.986
Br 0.000 0.000 0.000
Br 2.504 -1.446 1.993
Br 2.504 1.446 5.979
Sb 2.504 1.446 1.993
Sb 2.504 -1.446 5.979
```

Values from the calculation:
Electronic total energy (eV/atom): -2.464
Energy above the most stable polymorph in this dataset (eV/atom): 0.4818
Space-group type: P6_3/mmc, No. 194

What is the energy above the most stable polymorph in this dataset in the third record? 0.4818 eV/atom